{
  "formula": "NaAlH2",
  "functional": "GGA-PBE",
  "state": "relaxed",
  "spacegroup": "P-1, No. 2",
  "dos_at_fermi_per_ev_fu": 0.7,
  "polymorph_energy_mev_per_atom": 71,
  "volume_a3_per_cell": 121,
  "lattice": [[3.9800, 0.0000, 0.0000], [-0.8875, 5.7463, 0.0000], [-1.1651, -2.3095, 5.3038]],
  "species": ["Na", "Na", "Al", "Al", "H", "H", "H", "H"],
  "fractional_positions": [[0.0100, 0.3149, 0.1897], [0.9900, 0.6851, 0.8103], [0.3163, 0.1314, 0.6325], [0.6837, 0.8686, 0.3675], [0.3620, 0.4279, 0.6510], [0.3747, 0.1586, 0.9288], [0.6253, 0.8414, 0.0712], [0.6380, 0.5721, 0.3490]]
}

---

{
  "formula": "Na2AlH6",
  "functional": "GGA-PBE",
  "state": "relaxed",
  "spacegroup": "Fm-3m, No. 225",
  "dos_at_fermi_per_ev_fu": 2.8,
  "polymorph_energy_mev_per_atom": 0,
  "volume_a3_per_cell": 89,
  "lattice": [[0.0000, 3.5501, 3.5501], [3.5501, 0.0000, 3.5501], [3.5501, 3.5501, 0.0000]],
  "species": ["Na", "Na", "Al", "H", "H", "H", "H", "H", "H"],
  "fractional_positions": [[0.2500, 0.2500, 0.2500], [0.7500, 0.7500, 0.7500], [0.0000, 0.0000, 0.0000], [0.2455, 0.2455, 0.7545], [0.2455, 0.7545, 0.2455], [0.2455, 0.7545, 0.7545], [0.7545, 0.2455, 0.2455], [0.7545, 0.2455, 0.7545], [0.7545, 0.7545, 0.2455]]
}

---

{
  "formula": "NaAlH2",
  "functional": "GGA-PBE",
  "state": "relaxed",
  "spacegroup": "R-3m, No. 166",
  "polymorph_energy_mev_per_atom": 93,
  "volume_a3_per_cell": 144,
  "lattice": [[3.0073, 0.0000, 0.0000], [-1.5037, 2.6044, 0.0000], [0.0000, 0.0000, 18.3693]],
  "species": ["Na", "Na", "Na", "Al", "Al", "Al", "H", "H", "H", "H", "H", "H"],
  "fractional_positions": [[0.0000, 0.0000, 0.0000], [0.3333, 0.6667, 0.6667], [0.6667, 0.3333, 0.3333], [0.0000, 0.0000, 0.5000], [0.3333, 0.6667, 0.1667], [0.6667, 0.3333, 0.8333], [0.0000, 0.0000, 0.4052], [0.0000, 0.0000, 0.5948], [0.3333, 0.6667, 0.0719], [0.3333, 0.6667, 0.2615], [0.6667, 0.3333, 0.7385], [0.6667, 0.3333, 0.9281]]
}

---

{
  "formula": "Na5Al3H14",
  "functional": "GGA-PBE",
  "state": "relaxed",
  "spacegroup": "P4/mnc, No. 128",
  "dos_at_fermi_per_ev_fu": 0.0,
  "e_tot_ev_per_cell": -137.23,
  "volume_a3_per_cell": 455,
  "lattice": [[6.6671, 0.0000, 0.0000], [0.0000, 6.6671, 0.0000], [0.0000, 0.0000, 10.2393]],
  "species": ["Na", "Na", "Na", "Na", "Na", "Na", "Na", "Na", "Na", "Na", "Al", "Al", "Al", "Al", "Al", "Al", "H", "H", "H", "H", "H", "H", "H", "H", "H", "H", "H", "H", "H", "H", "H", "H", "H", "H", "H", "H", "H", "H", "H", "H", "H", "H", "H", "H"],
  "fractional_positions": [[0.0000, 0.0000, 0.0000], [0.2121, 0.2879, 0.2500], [0.2121, 0.2879, 0.7500], [0.2879, 0.7879, 0.2500], [0.2879, 0.7879, 0.7500], [0.5000, 0.5000, 0.5000], [0.7121, 0.2121, 0.2500], [0.7121, 0.2121, 0.7500], [0.7879, 0.7121, 0.2500], [0.7879, 0.7121, 0.7500], [0.0000, 0.0000, 0.5000], [0.0000, 0.5000, 0.0000], [0.0000, 0.5000, 0.5000], [0.5000, 0.0000, 0.0000], [0.5000, 0.0000, 0.5000], [0.5000, 0.5000, 0.0000], [0.0000, 0.0000, 0.3290], [0.0000, 0.0000, 0.6710], [0.0466, 0.6802, 0.1181], [0.0466, 0.6802, 0.8819], [0.0817, 0.2477, 0.5000], [0.1802, 0.5466, 0.3819], [0.1802, 0.5466, 0.6181], [0.2477, 0.9183, 0.5000], [0.2523, 0.4183, 0.0000], [0.3198, 0.0466, 0.1181], [0.3198, 0.0466, 0.8819], [0.4183, 0.7477, 0.0000], [0.4534, 0.1802, 0.3819], [0.4534, 0.1802, 0.6181], [0.5000, 0.5000, 0.1710], [0.5000, 0.5000, 0.8290], [0.5466, 0.8198, 0.3819], [0.5466, 0.8198, 0.6181], [0.5817, 0.2523, 0.0000], [0.6802, 0.9534, 0.1181], [0.6802, 0.9534, 0.8819], [0.7477, 0.5817, 0.0000], [0.7523, 0.0817, 0.5000], [0.8198, 0.4534, 0.3819], [0.8198, 0.4534, 0.6181], [0.9183, 0.7523, 0.5000], [0.9534, 0.3198, 0.1181], [0.9534, 0.3198, 0.8819]]
}

---

{
  "formula": "Na3AlH8",
  "functional": "GGA-PBE",
  "state": "relaxed",
  "spacegroup": "I4/mmm, No. 139",
  "dos_at_fermi_per_ev_fu": 0.0,
  "e_tot_ev_per_cell": -32.92,
  "volume_a3_per_cell": 124,
  "lattice": [[-2.5258, 2.5258, 4.8717], [2.5258, -2.5258, 4.8717], [2.5258, 2.5258, -4.8717]],
  "species": ["Na", "Na", "Na", "Al", "H", "H", "H", "H", "H", "H", "H", "H"],
  "fractional_positions": [[0.0000, 0.0000, 0.0000], [0.2500, 0.7500, 0.5000], [0.7500, 0.2500, 0.5000], [0.5000, 0.5000, 0.0000], [0.1909, 0.1909, 0.5921], [0.1909, 0.5987, 0.0000], [0.4013, 0.4013, 0.5921], [0.4013, 0.8091, 0.0000], [0.5987, 0.1909, 0.0000], [0.5987, 0.5987, 0.4079], [0.8091, 0.4013, 0.0000], [0.8091, 0.8091, 0.4079]]
}

---

{
  "formula": "Na3Al2H8",
  "functional": "GGA-PBE",
  "state": "relaxed",
  "spacegroup": "R-3m, No. 166",
  "dos_at_fermi_per_ev_fu": 1.9,
  "e_tot_ev_per_cell": -39.04,
  "volume_a3_per_cell": 174,
  "lattice": [[2.6708, 1.5420, 7.0454], [-2.6708, 1.5420, 7.0454], [0.0000, -3.0840, 7.0454]],
  "species": ["Na", "Na", "Na", "Al", "Al", "H", "H", "H", "H", "H", "H", "H", "H"],
  "fractional_positions": [[0.0000, 0.0000, 0.0000], [0.2060, 0.2060, 0.2060], [0.7940, 0.7940, 0.7940], [0.3879, 0.3879, 0.3879], [0.6121, 0.6121, 0.6121], [0.2492, 0.2492, 0.7466], [0.2492, 0.7466, 0.2492], [0.2534, 0.7508, 0.7508], [0.3095, 0.3095, 0.3095], [0.6905, 0.6905, 0.6905], [0.7466, 0.2492, 0.2492], [0.7508, 0.2534, 0.7508], [0.7508, 0.7508, 0.2534]]
}

---

{
  "formula": "NaAlH3",
  "functional": "GGA-PBE",
  "state": "relaxed",
  "spacegroup": "Cm, No. 8",
  "dos_at_fermi_per_ev_fu": 0.0,
  "polymorph_energy_mev_per_atom": 0,
  "volume_a3_per_cell": 140,
  "lattice": [[5.1296, -3.3944, 0.0000], [5.1296, 3.3944, 0.0000], [-1.9421, 0.0000, 4.0210]],
  "species": ["Na", "Na", "Al", "Al", "H", "H", "H", "H", "H", "H"],
  "fractional_positions": [[0.0000, 0.0000, 0.0000], [0.6284, 0.6284, 0.6294], [0.1219, 0.5066, 0.3953], [0.5066, 0.1219, 0.3953], [0.0276, 0.6008, 0.7353], [0.1736, 0.7527, 0.4012], [0.4552, 0.8761, 0.1036], [0.6008, 0.0276, 0.7353], [0.7527, 0.1736, 0.4012], [0.8761, 0.4552, 0.1036]]
}

---

{
  "formula": "NaAl3H",
  "functional": "GGA-PBE",
  "state": "relaxed",
  "spacegroup": "Pm-3m, No. 221",
  "dos_at_fermi_per_ev_fu": 1.7,
  "polymorph_energy_mev_per_atom": 0,
  "volume_a3_per_cell": 79,
  "lattice": [[4.2995, 0.0000, 0.0000], [0.0000, 4.2995, 0.0000], [0.0000, 0.0000, 4.2995]],
  "species": ["Na", "Al", "Al", "Al", "H"],
  "fractional_positions": [[0.0000, 0.0000, 0.0000], [0.0000, 0.5000, 0.5000], [0.5000, 0.0000, 0.5000], [0.5000, 0.5000, 0.0000], [0.5000, 0.5000, 0.5000]]
}

---

{
  "formula": "NaAlH2",
  "functional": "GGA-PBE",
  "state": "relaxed",
  "spacegroup": "I4_1/amd, No. 141",
  "dos_at_fermi_per_ev_fu": 0.3,
  "polymorph_energy_mev_per_atom": 268,
  "volume_a3_per_cell": 197,
  "lattice": [[-3.0155, 3.0155, 5.4113], [3.0155, -3.0155, 5.4113], [3.0155, 3.0155, -5.4113]],
  "species": ["Na", "Na", "Na", "Na", "Al", "Al", "Al", "Al", "H", "H", "H", "H", "H", "H", "H", "H"],
  "fractional_positions": [[0.0000, 0.0000, 0.0000], [0.0000, 0.0000, 0.5000], [0.0000, 0.5000, 0.0000], [0.5000, 0.0000, 0.5000], [0.0000, 0.5000, 0.5000], [0.5000, 0.0000, 0.0000], [0.5000, 0.5000, 0.0000], [0.5000, 0.5000, 0.5000], [0.2001, 0.2656, 0.5655], [0.2001, 0.6346, 0.9345], [0.2656, 0.2001, 0.0655], [0.3654, 0.7999, 0.5655], [0.6346, 0.2001, 0.4345], [0.7344, 0.7999, 0.9345], [0.7999, 0.3654, 0.0655], [0.7999, 0.7344, 0.4345]]
}

---

{
  "formula": "NaAlH3",
  "functional": "GGA-PBE",
  "state": "relaxed",
  "spacegroup": "Pm-3m, No. 221",
  "dos_at_fermi_per_ev_fu": 0.7,
  "polymorph_energy_mev_per_atom": 814,
  "volume_a3_per_cell": 54,
  "lattice": [[3.7797, 0.0000, 0.0000], [0.0000, 3.7797, 0.0000], [0.0000, 0.0000, 3.7797]],
  "species": ["Na", "Al", "H", "H", "H"],
  "fractional_positions": [[0.0000, 0.0000, 0.0000], [0.5000, 0.5000, 0.5000], [0.0000, 0.0000, 0.5000], [0.0000, 0.5000, 0.0000], [0.5000, 0.0000, 0.0000]]
}

---

{
  "formula": "NaAlH3",
  "functional": "GGA-PBE",
  "state": "relaxed",
  "spacegroup": "Pm-3m, No. 221",
  "dos_at_fermi_per_ev_fu": 0.9,
  "polymorph_energy_mev_per_atom": 147,
  "volume_a3_per_cell": 55,
  "lattice": [[3.7919, 0.0000, 0.0000], [0.0000, 3.7919, 0.0000], [0.0000, 0.0000, 3.7919]],
  "species": ["Na", "Al", "H", "H", "H"],
  "fractional_positions": [[0.0000, 0.0000, 0.0000], [0.5000, 0.5000, 0.5000], [0.0000, 0.5000, 0.5000], [0.5000, 0.0000, 0.5000], [0.5000, 0.5000, 0.0000]]
}

---

{
  "formula": "Na3AlH6",
  "functional": "GGA-PBE",
  "state": "relaxed",
  "spacegroup": "P2_1/c, No. 14",
  "dos_at_fermi_per_ev_fu": 0.0,
  "e_tot_ev_per_cell": -59.52,
  "volume_a3_per_cell": 223,
  "lattice": [[5.3085, 0.0000, 0.0000], [0.0000, 5.4992, 0.0000], [-5.2997, 0.0000, 7.6316]],
  "species": ["Na", "Na", "Na", "Na", "Na", "Na", "Al", "Al", "H", "H", "H", "H", "H", "H", "H", "H", "H", "H", "H", "H"],
  "fractional_positions": [[0.0000, 0.0000, 0.0000], [0.0000, 0.5000, 0.5000], [0.2569, 0.0464, 0.7471], [0.2569, 0.4536, 0.2471], [0.7431, 0.5464, 0.7529], [0.7431, 0.9536, 0.2529], [0.5000, 0.0000, 0.5000], [0.5000, 0.5000, 0.0000], [0.1814, 0.0480, 0.2826], [0.1814, 0.4520, 0.7826], [0.2725, 0.6711, 0.0446], [0.2725, 0.8289, 0.5446], [0.4017, 0.2324, 0.0641], [0.4017, 0.2676, 0.5641], [0.5983, 0.7324, 0.4359], [0.5983, 0.7676, 0.9359], [0.7275, 0.1711, 0.4554], [0.7275, 0.3289, 0.9554], [0.8186, 0.5480, 0.2174], [0.8186, 0.9520, 0.7174]]
}

---

What is the formula in the sixth record?
Na3Al2H8

---

Which formula does entry 4 have?
Na5Al3H14